Record 1
VASP calculation (SCAN) on a crystal of TlHgC3 relaxed with PBEsol.

## Properties
Size of the total moment: 0.55 μB per atom
E: -152.97 eV per cell
Fermi-level density of states: 4.986 states/eV/cell
Symmetry: Pm-3m

abc: 4.405 4.405 4.405
angles: 90.00 90.00 90.00
Fractional coordinates of all 5 atoms:
Tl 0.000 0.000 0.000
Hg 0.500 0.500 0.500
C 0.000 0.000 0.500
C 0.000 0.500 0.000
C 0.500 0.000 0.000


Record 2
VASP calculation (SCAN) on a crystal of Sr2P relaxed with PBEsol.

## Properties
Size of the total moment: 0.25 μB per atom
E: -230.12 eV per cell
Fermi-level density of states: 3.892 states/eV/cell
Symmetry: I4/mcm

abc: 7.047 7.047 7.673
angles: 90.00 90.00 90.00
Fractional coordinates of all 12 atoms:
Sr 0.224 0.276 0.000
Sr 0.224 0.724 0.500
Sr 0.276 0.224 0.500
Sr 0.276 0.776 0.000
Sr 0.724 0.224 0.000
Sr 0.724 0.776 0.500
Sr 0.776 0.276 0.500
Sr 0.776 0.724 0.000
P 0.000 0.000 0.250
P 0.000 0.000 0.750
P 0.500 0.500 0.250
P 0.500 0.500 0.750


Record 3
VASP calculation (SCAN) on a crystal of MnCr2Pt relaxed with PBEsol.

## Properties
Size of the total moment: 1.22 μB per atom
E: -507.77 eV per cell
Fermi-level density of states: 3.613 states/eV/cell
Symmetry: F-43m

abc: 5.935 5.935 5.935
angles: 90.00 90.00 90.00
Fractional coordinates of all 16 atoms:
Mn 0.000 0.000 0.000
Mn 0.000 0.500 0.500
Mn 0.500 0.000 0.500
Mn 0.500 0.500 0.000
Cr 0.000 0.000 0.500
Cr 0.000 0.500 0.000
Cr 0.250 0.250 0.750
Cr 0.250 0.750 0.250
Cr 0.500 0.000 0.000
Cr 0.500 0.500 0.500
Cr 0.750 0.250 0.250
Cr 0.750 0.750 0.750
Pt 0.250 0.250 0.250
Pt 0.250 0.750 0.750
Pt 0.750 0.250 0.750
Pt 0.750 0.750 0.250


Record 4
VASP calculation (SCAN) on a crystal of YZr2Fe relaxed with PBEsol.

## Properties
Size of the total moment: 0.02 μB per atom
Fermi-level density of states: 4.472 states/eV/cell
Symmetry: P4/mmm
Relative energy among the computed polymorphs: 0.000 eV per atom

abc: 3.207 3.207 7.971
angles: 90.00 90.00 90.00
Fractional coordinates of all 4 atoms:
Y 0.000 0.000 0.000
Zr 0.500 0.500 0.314
Zr 0.500 0.500 0.686
Fe 0.000 0.000 0.500


Record 5
VASP calculation (SCAN) on a crystal of CuOs2Ru relaxed with PBEsol.

## Properties
Size of the total moment: 0.49 μB per atom
Fermi-level density of states: 17.717 states/eV/cell
Symmetry: Fm-3m
Relative energy among the computed polymorphs: 0.352 eV per atom

abc: 5.991 5.991 5.991
angles: 90.00 90.00 90.00
Fractional coordinates of all 16 atoms:
Cu 0.000 0.000 0.000
Cu 0.000 0.500 0.500
Cu 0.500 0.000 0.500
Cu 0.500 0.500 0.000
Os 0.250 0.250 0.250
Os 0.250 0.250 0.750
Os 0.250 0.750 0.250
Os 0.250 0.750 0.750
Os 0.750 0.250 0.250
Os 0.750 0.250 0.750
Os 0.750 0.750 0.250
Os 0.750 0.750 0.750
Ru 0.000 0.000 0.500
Ru 0.000 0.500 0.000
Ru 0.500 0.000 0.000
Ru 0.500 0.500 0.500


Record 6
VASP calculation (SCAN) on a crystal of MnZnO3 relaxed with PBEsol.

## Properties
Size of the total moment: 0.60 μB per atom
E: -120.44 eV per cell
Fermi-level density of states: 0.000 states/eV/cell
Symmetry: R-3

abc: 5.389 5.389 5.389
angles: 54.60 54.60 54.60
Fractional coordinates of all 10 atoms:
Mn 0.158 0.158 0.158
Mn 0.842 0.842 0.842
Zn 0.365 0.365 0.365
Zn 0.635 0.635 0.635
O 0.048 0.438 0.783
O 0.217 0.952 0.562
O 0.438 0.783 0.048
O 0.562 0.217 0.952
O 0.783 0.048 0.438
O 0.952 0.562 0.217


Record 7
VASP calculation (SCAN) on a crystal of CaAlCd relaxed with PBEsol.

## Properties
Size of the total moment: 0.00 μB per atom
E: -186.99 eV per cell
Fermi-level density of states: 12.320 states/eV/cell
Symmetry: F-43m

abc: 7.016 7.016 7.016
angles: 90.00 90.00 90.00
Fractional coordinates of all 12 atoms:
Ca 0.000 0.000 0.000
Ca 0.000 0.500 0.500
Ca 0.500 0.000 0.500
Ca 0.500 0.500 0.000
Al 0.250 0.250 0.250
Al 0.250 0.750 0.750
Al 0.750 0.250 0.750
Al 0.750 0.750 0.250
Cd 0.250 0.250 0.750
Cd 0.250 0.750 0.250
Cd 0.750 0.250 0.250
Cd 0.750 0.750 0.750


Record 8
VASP calculation (SCAN) on a crystal of Ta2FeRh relaxed with PBEsol.

## Properties
Size of the total moment: 0.00 μB per atom
E: -186.05 eV per cell
Fermi-level density of states: 3.105 states/eV/cell
Symmetry: P4/mmm

abc: 2.858 2.858 7.116
angles: 90.00 90.00 90.00
Fractional coordinates of all 4 atoms:
Ta 0.000 0.000 0.231
Ta 0.000 0.000 0.769
Fe 0.500 0.500 0.000
Rh 0.500 0.500 0.500


Which value of size of the total moment does entry 1 give? 0.55 μB per atom


Copy entry 8 word for word.
VASP calculation (SCAN) on a crystal of Ta2FeRh relaxed with PBEsol.

## Properties
Size of the total moment: 0.00 μB per atom
E: -186.05 eV per cell
Fermi-level density of states: 3.105 states/eV/cell
Symmetry: P4/mmm

abc: 2.858 2.858 7.116
angles: 90.00 90.00 90.00
Fractional coordinates of all 4 atoms:
Ta 0.000 0.000 0.231
Ta 0.000 0.000 0.769
Fe 0.500 0.500 0.000
Rh 0.500 0.500 0.500


Look up the size of the total moment of the sixth one. 0.60 μB per atom